First-principles (PBE-GGA) data for DyGeRu after structural relaxation, as listed in Alexandria via LeMat-Bulk.

CIF file:
```
data_DyGeRu
_cell_length_a 7.047
_cell_length_b 4.433
_cell_length_c 7.244
_cell_angle_alpha 90.00
_cell_angle_beta 90.00
_cell_angle_gamma 90.00
_symmetry_space_group_name_H-M 'P n m a'
_symmetry_Int_Tables_number 62
_symmetry_space_group_name_Hall '-P 2ac 2n'
loop_
_atom_site_label
_atom_site_type_symbol
_atom_site_fract_x
_atom_site_fract_y
_atom_site_fract_z
Dy1 Dy 0.015 0.250 0.192
Ge1 Ge 0.202 0.250 0.607
Ru1 Ru 0.155 0.750 0.437
```

Results
**Energy**: -0.5063 Ry/atom
**N(E_F)**: 10.8 states/eV/cell
**M_tot**: 0.0 μB per formula unit
**Energy of formation**: -0.724 eV/atom

First-principles (PBE-GGA) data for BSb3Os after structural relaxation, as listed in Alexandria via LeMat-Bulk.

CIF file:
```
data_BSb3Os
_cell_length_a 5.144
_cell_length_b 5.144
_cell_length_c 5.144
_cell_angle_alpha 90.00
_cell_angle_beta 90.00
_cell_angle_gamma 90.00
_symmetry_space_group_name_H-M 'P m -3 m'
_symmetry_Int_Tables_number 221
_symmetry_space_group_name_Hall '-P 4 2 3'
loop_
_atom_site_label
_atom_site_type_symbol
_atom_site_fract_x
_atom_site_fract_y
_atom_site_fract_z
B1 B 0.000 0.000 0.000
Sb1 Sb 0.000 0.500 0.500
Os1 Os 0.500 0.500 0.500
```

Results
**Energy**: -0.3348 Ry/atom
**Formation energy without anion corrections**: 1.4992 eV per atom
**N(E_F)**: 4.9 states/eV/cell
**M_tot**: 0.0 μB per formula unit
**Polymorph energy (0 for the lowest one)**: 1.206 eV per formula unit

First-principles (PBE-GGA) data for NaTl3In4 after structural relaxation, as listed in Alexandria via LeMat-Bulk.

CIF file:
```
data_NaTl3In4
_cell_length_a 21.743
_cell_length_b 3.768
_cell_length_c 5.565
_cell_angle_alpha 90.00
_cell_angle_beta 97.77
_cell_angle_gamma 90.00
_symmetry_space_group_name_H-M 'C 1 2/m 1'
_symmetry_Int_Tables_number 12
_symmetry_space_group_name_Hall '-C 2y'
loop_
_atom_site_label
_atom_site_type_symbol
_atom_site_fract_x
_atom_site_fract_y
_atom_site_fract_z
Na1 Na 0.000 0.000 0.000
Tl1 Tl 0.000 0.500 0.500
Tl2 Tl 0.126 0.500 0.061
In1 In 0.127 0.000 0.560
In2 In 0.250 0.000 0.255
```

Results
**Energy**: -0.1801 Ry/atom
**N(E_F)**: 4.2 states/eV/cell
**M_tot**: 0.0 μB per formula unit
**Energy of formation**: -0.029 eV/atom
**Polymorph energy (0 for the lowest one)**: 0.000 eV per formula unit

First-principles (PBE-GGA) data for BaInI3 after structural relaxation, as listed in Alexandria via LeMat-Bulk.

CIF file:
```
data_BaInI3
_cell_length_a 6.727
_cell_length_b 6.727
_cell_length_c 6.727
_cell_angle_alpha 90.00
_cell_angle_beta 90.00
_cell_angle_gamma 90.00
_symmetry_space_group_name_H-M 'P m -3 m'
_symmetry_Int_Tables_number 221
_symmetry_space_group_name_Hall '-P 4 2 3'
loop_
_atom_site_label
_atom_site_type_symbol
_atom_site_fract_x
_atom_site_fract_y
_atom_site_fract_z
Ba1 Ba 0.000 0.000 0.000
In1 In 0.500 0.500 0.500
I1 I 0.000 0.000 0.500
```

Results
**Energy**: -0.2127 Ry/atom
**Formation energy without anion corrections**: -1.0313 eV per atom
**N(E_F)**: 0.0 states/eV/cell
**M_tot**: 0.0 μB per formula unit

First-principles (PBE-GGA) data for Rb2NaTiS after structural relaxation, as listed in Alexandria via LeMat-Bulk.

CIF file:
```
data_Rb2NaTiS
_cell_length_a 6.866
_cell_length_b 6.866
_cell_length_c 4.864
_cell_angle_alpha 90.00
_cell_angle_beta 90.00
_cell_angle_gamma 90.00
_symmetry_space_group_name_H-M 'P 4/m m m'
_symmetry_Int_Tables_number 123
_symmetry_space_group_name_Hall '-P 4 2'
loop_
_atom_site_label
_atom_site_type_symbol
_atom_site_fract_x
_atom_site_fract_y
_atom_site_fract_z
Rb1 Rb 0.000 0.500 0.000
Na1 Na 0.000 0.000 0.000
Ti1 Ti 0.500 0.500 0.500
S1 S 0.000 0.000 0.500
```

Results
**Energy**: -0.1916 Ry/atom
**Formation energy without anion corrections**: 0.4483 eV per atom
**N(E_F)**: 6.3 states/eV/cell
**M_tot**: 3.0 μB per formula unit
**Polymorph energy (0 for the lowest one)**: 2.222 eV per formula unit

First-principles (PBE-GGA) data for PrCdPb after structural relaxation, as listed in Alexandria via LeMat-Bulk.

CIF file:
```
data_PrCdPb
_cell_length_a 4.9906
_cell_length_b 4.9906
_cell_length_c 26.2996
_cell_angle_alpha 90.00
_cell_angle_beta 90.00
_cell_angle_gamma 120.00
_symmetry_space_group_name_H-M 'R -3 m'
_symmetry_Int_Tables_number 166
_symmetry_space_group_name_Hall '-R 3 2"'
loop_
_atom_site_label
_atom_site_type_symbol
_atom_site_fract_x
_atom_site_fract_y
_atom_site_fract_z
Pr1 Pr 0.0000 0.0000 0.0691
Cd1 Cd 0.0000 0.0000 0.3354
Pb1 Pb 0.0000 0.0000 0.1960
```

Results
**Energy**: -0.2487 Ry/atom
**N(E_F)**: 18.2 states/eV/cell
**M_tot**: 0.0 μB per formula unit
**Energy of formation**: -0.250 eV/atom

First-principles (PBE-GGA) data for BaNd6 after structural relaxation, as listed in Alexandria via LeMat-Bulk.

CIF file:
```
data_BaNd6
_cell_length_a 8.457
_cell_length_b 8.457
_cell_length_c 8.457
_cell_angle_alpha 90.00
_cell_angle_beta 90.00
_cell_angle_gamma 90.00
_symmetry_space_group_name_H-M 'I m -3 m'
_symmetry_Int_Tables_number 229
_symmetry_space_group_name_Hall '-I 4 2 3'
loop_
_atom_site_label
_atom_site_type_symbol
_atom_site_fract_x
_atom_site_fract_y
_atom_site_fract_z
Ba1 Ba 0.000 0.000 0.000
Nd1 Nd 0.000 0.250 0.500
```

Results
**Energy**: -0.2490 Ry/atom
**N(E_F)**: 13.9 states/eV/cell
**M_tot**: 0.0 μB per formula unit
**Energy of formation**: 0.973 eV/atom

First-principles (PBE-GGA) data for Na2Ce2I2Br5 after structural relaxation, as listed in Alexandria via LeMat-Bulk.

CIF file:
```
data_Na2Ce2I2Br5
_cell_length_a 5.957
_cell_length_b 5.957
_cell_length_c 27.352
_cell_angle_alpha 90.00
_cell_angle_beta 90.00
_cell_angle_gamma 90.00
_symmetry_space_group_name_H-M 'I 4/m m m'
_symmetry_Int_Tables_number 139
_symmetry_space_group_name_Hall '-I 4 2'
loop_
_atom_site_label
_atom_site_type_symbol
_atom_site_fract_x
_atom_site_fract_y
_atom_site_fract_z
Na1 Na 0.000 0.000 0.167
Ce1 Ce 0.000 0.000 0.392
I1 I 0.000 0.000 0.279
Br1 Br 0.000 0.000 0.500
Br2 Br 0.000 0.500 0.115
```

Results
**Energy**: -0.2807 Ry/atom
**Formation energy without anion corrections**: -1.4586 eV per atom
**N(E_F)**: 40.1 states/eV/cell
**M_tot**: 3.0 μB per formula unit

First-principles (PBE-GGA) data for Ca3BC after structural relaxation, as listed in Alexandria via LeMat-Bulk.

CIF file:
```
data_Ca3BC
_cell_length_a 4.906
_cell_length_b 4.906
_cell_length_c 4.906
_cell_angle_alpha 90.00
_cell_angle_beta 90.00
_cell_angle_gamma 90.00
_symmetry_space_group_name_H-M 'P m -3 m'
_symmetry_Int_Tables_number 221
_symmetry_space_group_name_Hall '-P 4 2 3'
loop_
_atom_site_label
_atom_site_type_symbol
_atom_site_fract_x
_atom_site_fract_y
_atom_site_fract_z
Ca1 Ca 0.000 0.000 0.500
B1 B 0.500 0.500 0.500
C1 C 0.000 0.000 0.000
```

Results
**Energy**: -0.2691 Ry/atom
**N(E_F)**: 5.6 states/eV/cell
**M_tot**: 2.4 μB per formula unit
**Energy of formation**: 0.719 eV/atom
**Polymorph energy (0 for the lowest one)**: 0.000 eV per formula unit

First-principles (PBE-GGA) data for Li2AcPr2Bi2 after structural relaxation, as listed in Alexandria via LeMat-Bulk.

CIF file:
```
data_Li2AcPr2Bi2
_cell_length_a 4.9791
_cell_length_b 4.9791
_cell_length_c 29.1820
_cell_angle_alpha 90.00
_cell_angle_beta 90.00
_cell_angle_gamma 120.00
_symmetry_space_group_name_H-M 'R -3 m'
_symmetry_Int_Tables_number 166
_symmetry_space_group_name_Hall '-R 3 2"'
loop_
_atom_site_label
_atom_site_type_symbol
_atom_site_fract_x
_atom_site_fract_y
_atom_site_fract_z
Li1 Li 0.0000 0.0000 0.0833
Ac1 Ac 0.0000 0.0000 0.5000
Pr1 Pr 0.0000 0.0000 0.3672
Bi1 Bi 0.0000 0.0000 0.2390
```

Results
**Energy**: -0.3001 Ry/atom
**N(E_F)**: 18.1 states/eV/cell
**M_tot**: 0.0 μB per formula unit
**Energy of formation**: -0.474 eV/atom